1.
An optimized crystal structure of BaSb2Rh. Source: Alexandria via LeMat-Bulk, functional PBE.

The value obtained for the electronic total energy is -4.8011 eV per atom. The crystal system is tetragonal. As for the formation energy from raw total energies: -0.421 eV/atom. For the size of the total moment, the calculation gives 0.000 μB/atom.

It has space group I-42d (No. 122), with a = 5.563 Å, b = 5.563 Å, c = 17.354 Å, α = 90.00°, β = 90.00° and γ = 90.00°. The asymmetric unit holds Ba at (0.000, 0.000, 0.000), Sb at (0.087, 0.250, 0.625) and Rh at (0.000, 0.000, 0.500).


2.
An optimized crystal structure of BaSbRh2. Source: Alexandria via LeMat-Bulk, functional PBE.

The value obtained for the electronic total energy is -5.3387 eV per atom. The crystal system is tetragonal. As for the formation energy from raw total energies: -0.152 eV/atom. For the size of the total moment, the calculation gives 0.000 μB/atom.

It has space group P4/mmm (No. 123), with a = 3.394 Å, b = 3.394 Å, c = 7.569 Å, α = 90.00°, β = 90.00° and γ = 90.00°. The asymmetric unit holds Ba at (0.000, 0.000, 0.000), Sb at (0.000, 0.000, 0.500) and Rh at (0.500, 0.500, 0.313).


3.
An optimized crystal structure of BaSbRh2. Source: Alexandria via LeMat-Bulk, functional PBE.

The value obtained for the electronic total energy is -5.2969 eV per atom. The crystal system is orthorhombic. As for the formation energy from raw total energies: -0.110 eV/atom. For the size of the total moment, the calculation gives 0.000 μB/atom.

It has space group Pmm2 (No. 25), with a = 3.238 Å, b = 3.961 Å, c = 7.095 Å, α = 90.00°, β = 90.00° and γ = 90.00°. The asymmetric unit holds Ba at (0.000, 0.000, 0.000), Sb at (0.500, 0.500, 0.619), Rh at (0.000, 0.000, 0.468) and Rh at (0.500, 0.500, 0.258).


4.
An optimized crystal structure of BaSbRh2. Source: Alexandria via LeMat-Bulk, functional PBE.

The value obtained for the electronic total energy is -5.2232 eV per atom. The crystal system is tetragonal. As for the formation energy from raw total energies: -0.036 eV/atom. For the size of the total moment, the calculation gives 0.000 μB/atom.

It has space group P4/mmm (No. 123), with a = 4.803 Å, b = 4.803 Å, c = 3.755 Å, α = 90.00°, β = 90.00° and γ = 90.00°. The asymmetric unit holds Ba at (0.000, 0.000, 0.000), Sb at (0.500, 0.500, 0.000) and Rh at (0.000, 0.500, 0.500).


> Which formula does entry 1 have?

BaSb2Rh


> Look up the electronic total energy of the second one.

-5.3387 eV per atom


> Which formula does entry 3 have?

BaSbRh2